1.
Computed, not measured: an optimized crystal structure of Rb2MgGaBi2 at the PBE-GGA level of DFT.

Output
Its energy relative to the elements is -344 meV per atom. The value obtained for the spin magnetization is 0.0 μB per formula unit. For the volume, the calculation gives 449 Å³ per cell. Its space-group type is Ibam.

a = 7.2417 Å, b = 7.2385 Å, c = 9.9732 Å
α = 111.29°, β = 111.29°, γ = 90.00°
With the nearest neighbours (Å) after each atom.
Fractional coordinates of all 12 atoms:
Bi1 0.3442 0.5958 0.1916  2 Mg 3.03, 2 Ga 3.05
Mg1 0.0000 0.7500 0.0000  4 Bi 3.03
Rb1 0.4285 0.1680 0.3360  5 Bi 3.76-4.04, 2 Ga 3.81-3.82, 2 Mg 3.89
Mg2 0.0000 0.2500 0.0000  4 Bi 3.03
Bi2 0.6558 0.4042 0.8084  2 Mg 3.03, 2 Ga 3.05
Rb2 0.9075 0.6680 0.3360  5 Bi 3.76-4.04, 2 Ga 3.81-3.82, 2 Mg 3.89
Ga1 0.5000 0.7500 0.0000  4 Bi 3.05
Bi3 0.8474 0.0958 0.1916  2 Mg 3.03, 2 Ga 3.05
Bi4 0.1526 0.9042 0.8084  2 Mg 3.03, 2 Ga 3.05
Rb3 0.5715 0.8320 0.6640  5 Bi 3.76-4.04, 2 Ga 3.81-3.82, 2 Mg 3.89
Rb4 0.0925 0.3320 0.6640  5 Bi 3.76-4.04, 2 Ga 3.81-3.82, 2 Mg 3.89
Ga2 0.5000 0.2500 0.0000  4 Bi 3.05

=====

2.
Computed, not measured: an optimized crystal structure of RbMgGaBi2 at the PBE-GGA level of DFT.

Output
Its energy relative to the elements is -273 meV per atom. The value obtained for the spin magnetization is 0.0 μB per formula unit. For the volume, the calculation gives 171 Å³ per cell. Its space-group type is I-4m2.

a = 4.6343 Å, b = 4.6343 Å, c = 8.6148 Å
α = 105.60°, β = 105.60°, γ = 90.00°
With the nearest neighbours (Å) after each atom.
Fractional coordinates of all 5 atoms:
Bi1 0.3641 0.3641 0.7283  2 Mg 2.95, 2 Ga 2.95
Ga1 0.2500 0.7500 0.5000  4 Bi 2.95, 4 Mg 3.28
Bi2 0.6359 0.6359 0.2717  2 Ga 2.95, 2 Mg 2.95
Rb1 0.0000 0.0000 0.0000  8 Bi 3.93
Mg1 0.7500 0.2500 0.5000  4 Bi 2.95, 4 Ga 3.28

=====

3.
Computed, not measured: an optimized crystal structure of MgGaBiS4 at the PBE-GGA level of DFT.

Output
As for the energy relative to the elements, uncorrected: -68.4 kJ per mole of atoms. The value obtained for the spin magnetization is 0.0 μB per formula unit. For the volume, the calculation gives 320 Å³ per cell. Its space-group type is Imma.

a = 7.7394 Å, b = 7.6811 Å, c = 7.6811 Å
α = 59.21°, β = 59.75°, γ = 59.75°
With the nearest neighbours (Å) after each atom.
Fractional coordinates of all 14 atoms:
S1 0.2568 0.7555 0.7310  1 Ga 2.34
S2 0.2570 0.7577 0.2577  1 Ga 2.36, 1 Mg 2.64
Bi1 0.0000 0.0000 0.0000  6 S 2.79-2.80
Mg1 0.5000 0.0000 0.5000  6 S 2.64-2.65
Mg2 0.0000 0.0000 0.5000  6 S 2.64-2.65
S3 0.2568 0.2310 0.2555  1 Ga 2.34
S4 0.7277 0.7577 0.2577  1 Ga 2.36, 1 Mg 2.64
Ga1 0.3699 0.3801 0.8801  4 S 2.34-2.36
S5 0.7432 0.7690 0.7445  1 Ga 2.34
S6 0.7430 0.2423 0.7423  1 Ga 2.36, 1 Mg 2.64
Bi2 0.0000 0.5000 0.5000  6 S 2.79-2.80
Ga2 0.6301 0.6199 0.1199  4 S 2.34-2.36
S7 0.2723 0.2423 0.7423  1 Ga 2.36, 1 Mg 2.64
S8 0.7432 0.2445 0.2690  1 Ga 2.34